# Tb3Nd6Y2Mg

A relaxed Tb3Nd6Y2Mg crystal (PBE, the Alexandria database).

Lattice parameters (Å, degrees): 6.2521 10.8413 11.8443 90.00 100.20 90.00
Last column: nearest neighbours and their distance in Å.
Space group C2/m (No. 12)
One atom of each set of equivalent atoms:
Tb (0.0000, 0.0000, 0.0000) (multiplicity 2)  6 Nd 3.59, 6 Tb 3.61
Tb (0.0000, 0.3334, 0.0000) (multiplicity 4)  6 Nd 3.58-3.60, 6 Tb 3.61
Nd (0.2480, 0.3341, 0.7486) (multiplicity 8)  1 Mg 3.56, 2 Y 3.57-3.58, 3 Tb 3.59-3.60, 6 Nd 3.60-3.62
Nd (0.2503, 0.0000, 0.7500) (multiplicity 4)  3 Tb 3.58-3.59, 2 Y 3.58, 1 Mg 3.58, 6 Nd 3.60-3.62
Y (0.0000, 0.1665, 0.5000) (multiplicity 4)  6 Nd 3.57-3.58, 3 Mg 3.61-3.62, 3 Y 3.61
Mg (0.0000, 0.5000, 0.5000) (multiplicity 2)  6 Nd 3.56-3.58, 6 Y 3.61-3.62

Properties
The formation energy comes out at 0.0193 eV per atom. For the total energy, the calculation gives -4.732 eV per atom. The density of states at the Fermi level comes out at 1.1312 states/eV/atom.